(1)
## RbNa3V (GGA-PBE)

Data for a relaxed RbNa3V crystal.

a = 6.1454 Å, b = 6.1454 Å, c = 6.1454 Å
α = 90.00°, β = 90.00°, γ = 90.00°
With the nearest neighbours (Å) after each atom.
Fractional coordinates of all 5 atoms:
Na: 0.0000 0.5000 0.0000  2 Rb 3.07
Na: 0.0000 0.0000 0.5000  2 Rb 3.07
Rb: 0.0000 0.0000 0.0000  6 Na 3.07
V: 0.5000 0.5000 0.5000  12 Na 4.35
Na: 0.5000 0.0000 0.0000  2 Rb 3.07

Summary:
Mass density ... 1.47 g cm⁻³
Energy relative to the elements ... 1228 meV per atom
Calculated volume ... 232.1 Å³/cell
Total magnetic moment ... 4.58 μB per cell
SG ... Pm-3m


(2)
## RbNa2V (GGA-PBE)

Data for a relaxed RbNa2V crystal.

a = 5.9578 Å, b = 5.9578 Å, c = 5.9578 Å
α = 60.00°, β = 60.00°, γ = 60.00°
With the nearest neighbours (Å) after each atom.
Fractional coordinates of all 4 atoms:
Rb: 0.5000 0.5000 0.5000  8 Na 3.65
Na: 0.7500 0.7500 0.7500  4 Rb 3.65, 4 V 3.65
V: 0.0000 0.0000 0.0000  8 Na 3.65
Na: 0.2500 0.2500 0.2500  4 Rb 3.65, 4 V 3.65

Summary:
Mass density ... 2.03 g cm⁻³
Energy relative to the elements ... 848 meV per atom
Calculated volume ... 149.5 Å³/cell
Total magnetic moment ... 4.68 μB per cell
SG ... Fm-3m


(3)
## RbNa2V (GGA-PBE)

Data for a relaxed RbNa2V crystal.

a = 9.5231 Å, b = 9.5231 Å, c = 7.6550 Å
α = 51.54°, β = 51.54°, γ = 90.00°
With the nearest neighbours (Å) after each atom.
Fractional coordinates of all 8 atoms:
Na: 0.8750 0.8255 0.7500  2 V 3.18
Na: 0.1745 0.6250 0.2500  2 V 3.18
Rb: 0.7500 0.2500 0.5000  2 V 3.64, 4 Na 3.82
Rb: 0.0000 0.0000 0.0000  2 V 3.64, 4 Na 3.82
Na: 0.5755 0.1250 0.2500  2 V 3.18
V: 0.5000 0.5000 0.0000  4 Na 3.18
V: 0.2500 0.7500 0.5000  4 Na 3.18
Na: 0.3750 0.4245 0.7500  2 V 3.18

Summary:
Mass density ... 1.83 g cm⁻³
Energy relative to the elements ... 920 meV per atom
Calculated volume ... 330.2 Å³/cell
Total magnetic moment ... 9.21 μB per cell
SG ... I-42d


(4)
## RbNa3V (GGA-PBE)

Data for a relaxed RbNa3V crystal.

a = 6.0978 Å, b = 6.0978 Å, c = 6.0978 Å
α = 90.00°, β = 90.00°, γ = 90.00°
With the nearest neighbours (Å) after each atom.
Fractional coordinates of all 5 atoms:
Na: 0.0000 0.0000 0.5000  2 V 3.05
Na: 0.5000 0.0000 0.0000  2 V 3.05
Na: 0.0000 0.5000 0.0000  2 V 3.05
V: 0.0000 0.0000 0.0000  6 Na 3.05
Rb: 0.5000 0.5000 0.5000  12 Na 4.31

Summary:
Mass density ... 1.50 g cm⁻³
Energy relative to the elements ... 725 meV per atom
Calculated volume ... 226.7 Å³/cell
Total magnetic moment ... 5.07 μB per cell
SG ... Pm-3m


(5)
## Rb2NaV (GGA-PBE)

Data for a relaxed Rb2NaV crystal.

a = 6.5263 Å, b = 6.5263 Å, c = 6.5263 Å
α = 60.00°, β = 60.00°, γ = 60.00°
With the nearest neighbours (Å) after each atom.
Fractional coordinates of all 4 atoms:
Rb: 0.2500 0.2500 0.2500  4 Na 4.00, 4 V 4.00
Rb: 0.7500 0.7500 0.7500  4 Na 4.00, 4 V 4.00
Na: 0.0000 0.0000 0.0000  8 Rb 4.00
V: 0.5000 0.5000 0.5000  8 Rb 4.00

Summary:
Mass density ... 2.07 g cm⁻³
Energy relative to the elements ... 916 meV per atom
Calculated volume ... 196.6 Å³/cell
Total magnetic moment ... 4.64 μB per cell
SG ... Fm-3m


(6)
## RbNaW2 (GGA-PBE)

Data for a relaxed RbNaW2 crystal.

a = 4.9686 Å, b = 4.9686 Å, c = 4.9686 Å
α = 60.00°, β = 60.00°, γ = 60.00°
With the nearest neighbours (Å) after each atom.
Fractional coordinates of all 4 atoms:
Na: 0.0000 0.0000 0.0000  8 W 3.04
W: 0.7500 0.7500 0.7500  4 Rb 3.04, 4 Na 3.04
W: 0.2500 0.2500 0.2500  4 Rb 3.04, 4 Na 3.04
Rb: 0.5000 0.5000 0.5000  8 W 3.04

Summary:
Mass density ... 9.12 g cm⁻³
Energy relative to the elements ... 3003 meV per atom
Calculated volume ... 86.7 Å³/cell
Total magnetic moment ... 0.00 μB per cell
SG ... Fm-3m